Compound: CsMg14Zn
Source: Alexandria via LeMat-Bulk
Functional: PBE-GGA
Structure: optimized geometry

The structure belongs to space group Amm2 (No. 38); the cell edges are 10.882, 6.473 and 11.401 Å and the angles 90.00°, 90.00° and 90.00°. The asymmetric unit holds Cs at (0.000, 0.000, 0.000), Mg at (0.000, 0.232, 0.736), Mg at (0.232, 0.000, 0.605), Mg at (0.260, 0.246, 0.356), Mg at (0.283, 0.000, 0.115), Mg at (0.500, 0.000, 0.439), Mg at (0.500, 0.000, 0.938), Mg at (0.500, 0.237, 0.691) and Zn at (0.000, 0.000, 0.434).

For the density of states at the Fermi level, the calculation gives 0.473 states/eV per atom. The calculation puts the total DFT energy (no corrections) at -21.91 eV/f.u. The spin magnetization is 0.00 μB/cell.